Material: CeNi4
Method: DFT, PBE-GGA
State: relaxed

Its mass density is 8.55 g/cm3. As for the uncorrected energy: -241.5 eV for the cell shown.

It has space group I-43m (No. 217), with a = 8.353 Å, b = 8.353 Å, c = 8.353 Å, α = 90.00°, β = 90.00° and γ = 90.00°. Symmetry generates all atoms from Ce at (0.229, 0.229, 0.771), Ni at (0.000, 0.000, 0.352), Ni at (0.000, 0.250, 0.500) and Ni at (0.101, 0.101, 0.101).